6
Lattice="3.592 0.000 0.000 0.000 3.592 0.000 0.000 0.000 14.115" Properties=species:S:1:pos:R:3 comment="Tb4ThCd, optimized geometry, DFT PBE-GGA" de_polymorph_ev_per_atom=0.000 space_group=P4/mmm formation_energy_mev_per_atom=-81.8 e_tot_ev_per_cell=-27.35 pbc="T T T"
Tb 1.796 1.796 2.436
Tb 0.000 0.000 9.115
Tb 0.000 0.000 5.000
Tb 1.796 1.796 11.679
Th 0.000 0.000 0.000
Cd 1.796 1.796 7.057

7
Lattice="-0.421 -1.419 -4.841 -3.082 -3.812 -1.261 -7.688 3.886 -3.116" Properties=species:S:1:pos:R:3 comment="Tb2ThTl2Cd2, optimized geometry, DFT PBE-GGA" space_group=R-3m formation_energy_mev_per_atom=-75.1 e_tot_ev_per_cell=-23.77 pbc="T T T"
Tb -5.095 1.647 -2.686
Tb -6.097 -2.992 -6.532
Th 0.000 0.000 0.000
Tl -8.789 -0.668 -6.979
Tl -2.403 -0.678 -2.239
Cd -4.192 -1.885 -4.376
Cd -7.001 0.540 -4.842

4
Lattice="-0.925 2.910 -4.567 -4.949 2.212 -0.893 -0.670 5.445 0.301" Properties=species:S:1:pos:R:3 comment="TbYThCd, optimized geometry, DFT PBE-GGA" de_polymorph_ev_per_atom=0.267 space_group=F-43m formation_energy_mev_per_atom=97.1 e_tot_ev_per_cell=-19.04 pbc="T T T"
Y -1.636 2.642 -1.290
Tb -4.908 7.926 -3.870
Th 0.000 0.000 0.000
Cd -3.272 5.284 -2.580

4
Lattice="-2.472 -0.887 2.493 -1.267 -2.598 -2.181 5.698 -5.791 3.590" Properties=species:S:1:pos:R:3 comment="TbYThCd, optimized geometry, DFT PBE-GGA" de_polymorph_ev_per_atom=0.000 space_group=P4mm formation_energy_mev_per_atom=-170.0 e_tot_ev_per_cell=-20.11 pbc="T T T"
Tb 3.143 -3.195 1.981
Y 0.521 -0.529 0.328
Th 2.807 -6.496 3.103
Cd -0.042 -3.600 1.308